(1)
# Y12Ge3O5

A geometry-optimized Y12Ge3O5 structure (PBE-GGA, Alexandria via LeMat-Bulk).

Summary:
N(E_F) in states/eV/f.u.: 15.6
Crystal system: cubic
Formation energy without anion corrections in eV per atom: -1.6786
Symmetry: Ia-3d, No. 230

Lattice parameters (Å, degrees): 13.234 13.234 13.234 109.47 109.47 109.47
Element x y z (fractional)
Y (0.016, 0.202, 0.114)
Y (0.016, 0.314, 0.903)
Y (0.089, 0.702, 0.686)
Y (0.089, 0.886, 0.403)
Y (0.097, 0.614, 0.411)
Y (0.097, 0.984, 0.686)
Y (0.114, 0.016, 0.202)
Y (0.114, 0.597, 0.911)
Y (0.186, 0.202, 0.589)
Y (0.186, 0.484, 0.597)
Y (0.202, 0.114, 0.016)
Y (0.202, 0.589, 0.186)
Y (0.298, 0.314, 0.911)
Y (0.298, 0.484, 0.386)
Y (0.314, 0.903, 0.016)
Y (0.314, 0.911, 0.298)
Y (0.386, 0.298, 0.484)
Y (0.386, 0.589, 0.903)
Y (0.403, 0.089, 0.886)
Y (0.403, 0.814, 0.516)
Y (0.411, 0.097, 0.614)
Y (0.411, 0.814, 0.798)
Y (0.484, 0.386, 0.298)
Y (0.484, 0.597, 0.186)
Y (0.516, 0.403, 0.814)
Y (0.516, 0.614, 0.702)
Y (0.589, 0.186, 0.202)
Y (0.589, 0.903, 0.386)
Y (0.597, 0.186, 0.484)
Y (0.597, 0.911, 0.114)
Y (0.614, 0.411, 0.097)
Y (0.614, 0.702, 0.516)
Y (0.686, 0.089, 0.702)
Y (0.686, 0.097, 0.984)
Y (0.702, 0.516, 0.614)
Y (0.702, 0.686, 0.089)
Y (0.798, 0.411, 0.814)
Y (0.798, 0.886, 0.984)
Y (0.814, 0.516, 0.403)
Y (0.814, 0.798, 0.411)
Y (0.886, 0.403, 0.089)
Y (0.886, 0.984, 0.798)
Y (0.903, 0.016, 0.314)
Y (0.903, 0.386, 0.589)
Y (0.911, 0.114, 0.597)
Y (0.911, 0.298, 0.314)
Y (0.984, 0.686, 0.097)
Y (0.984, 0.798, 0.886)
Ge (0.125, 0.250, 0.375)
Ge (0.125, 0.375, 0.750)
Ge (0.250, 0.375, 0.125)
Ge (0.250, 0.875, 0.625)
Ge (0.375, 0.125, 0.250)
Ge (0.375, 0.750, 0.125)
Ge (0.625, 0.250, 0.875)
Ge (0.625, 0.875, 0.750)
Ge (0.750, 0.125, 0.375)
Ge (0.750, 0.625, 0.875)
Ge (0.875, 0.625, 0.250)
Ge (0.875, 0.750, 0.625)
O (0.000, 0.000, 0.000)
O (0.000, 0.000, 0.500)
O (0.000, 0.500, 0.000)
O (0.000, 0.500, 0.500)
O (0.125, 0.750, 0.875)
O (0.125, 0.875, 0.250)
O (0.250, 0.125, 0.875)
O (0.250, 0.625, 0.375)
O (0.375, 0.250, 0.625)
O (0.375, 0.625, 0.750)
O (0.500, 0.000, 0.000)
O (0.500, 0.000, 0.500)
O (0.500, 0.500, 0.000)
O (0.500, 0.500, 0.500)
O (0.625, 0.375, 0.250)
O (0.625, 0.750, 0.375)
O (0.750, 0.375, 0.625)
O (0.750, 0.875, 0.125)
O (0.875, 0.125, 0.750)
O (0.875, 0.250, 0.125)

(2)
# Y2GeO

A geometry-optimized Y2GeO structure (PBE-GGA, Alexandria via LeMat-Bulk).

Summary:
N(E_F) in states/eV/f.u.: 0.0
Crystal system: tetragonal
Formation energy without anion corrections in eV per atom: -1.7196
Distance to the lowest polymorph of the same formula in meV/atom: 179.7
Symmetry: I-42d, No. 122

Lattice parameters (Å, degrees): 6.091 6.091 6.091 112.90 112.90 102.82
Element x y z (fractional)
Y (0.050, 0.125, 0.425)
Y (0.375, 0.950, 0.075)
Y (0.700, 0.625, 0.575)
Y (0.875, 0.300, 0.925)
Ge (0.250, 0.750, 0.500)
Ge (0.500, 0.500, 0.000)
O (0.000, 0.000, 0.000)
O (0.750, 0.250, 0.500)

(3)
# YbGeO3

A geometry-optimized YbGeO3 structure (PBE-GGA, Alexandria via LeMat-Bulk).

Summary:
N(E_F) in states/eV/f.u.: 14.8
Crystal system: cubic
Formation energy without anion corrections in eV per atom: -2.1383
Symmetry: Pm-3m, No. 221

Lattice parameters (Å, degrees): 3.840 3.840 3.840 90.00 90.00 90.00
Element x y z (fractional)
Yb (0.000, 0.000, 0.000)
Ge (0.500, 0.500, 0.500)
O (0.000, 0.500, 0.500)
O (0.500, 0.000, 0.500)
O (0.500, 0.500, 0.000)

(4)
# ZnGe2O

A geometry-optimized ZnGe2O structure (PBE-GGA, Alexandria via LeMat-Bulk).

Summary:
N(E_F) in states/eV/f.u.: 0.5
Crystal system: tetragonal
Formation energy without anion corrections in eV per atom: -0.1502
Distance to the lowest polymorph of the same formula in meV/atom: 0.0
Symmetry: I-42d, No. 122

Lattice parameters (Å, degrees): 7.114 7.114 7.114 140.59 140.59 56.95
Element x y z (fractional)
Zn (0.000, 0.000, 0.000)
Zn (0.750, 0.250, 0.500)
Ge (0.219, 0.625, 0.094)
Ge (0.375, 0.469, 0.594)
Ge (0.531, 0.125, 0.906)
Ge (0.875, 0.781, 0.406)
O (0.250, 0.750, 0.500)
O (0.500, 0.500, 0.000)

(5)
# ZnGe2O

A geometry-optimized ZnGe2O structure (PBE-GGA, Alexandria via LeMat-Bulk).

Summary:
N(E_F) in states/eV/f.u.: 2.5
Crystal system: cubic
Formation energy without anion corrections in eV per atom: 0.2627
Distance to the lowest polymorph of the same formula in meV/atom: 413.0
Symmetry: Fm-3m, No. 225

Lattice parameters (Å, degrees): 4.395 4.395 4.395 60.00 60.00 60.00
Element x y z (fractional)
Zn (0.000, 0.000, 0.000)
Ge (0.250, 0.250, 0.250)
Ge (0.750, 0.750, 0.750)
O (0.500, 0.500, 0.500)

(6)
# ZnGe2O4

A geometry-optimized ZnGe2O4 structure (PBE-GGA, Alexandria via LeMat-Bulk).

Summary:
N(E_F) in states/eV/f.u.: 0.6
Crystal system: tetragonal
Formation energy without anion corrections in eV per atom: -1.0121
Symmetry: I4/m, No. 87

Lattice parameters (Å, degrees): 5.565 5.565 5.565 105.84 105.84 117.00
Element x y z (fractional)
Zn (0.000, 0.000, 0.000)
Ge (0.250, 0.750, 0.500)
Ge (0.750, 0.250, 0.500)
O (0.004, 0.308, 0.312)
O (0.308, 0.996, 0.304)
O (0.692, 0.004, 0.696)
O (0.996, 0.692, 0.688)

(7)
# Zr2GeO

A geometry-optimized Zr2GeO structure (PBE-GGA, Alexandria via LeMat-Bulk).

Summary:
N(E_F) in states/eV/f.u.: 2.9
Crystal system: tetragonal
Formation energy without anion corrections in eV per atom: -1.1593
Distance to the lowest polymorph of the same formula in meV/atom: 0.0
Symmetry: I-42d, No. 122

Lattice parameters (Å, degrees): 6.726 6.726 6.726 131.98 131.98 70.26
Element x y z (fractional)
Zr (0.043, 0.625, 0.918)
Zr (0.375, 0.293, 0.418)
Zr (0.707, 0.125, 0.082)
Zr (0.875, 0.957, 0.582)
Ge (0.250, 0.750, 0.500)
Ge (0.500, 0.500, 0.000)
O (0.000, 0.000, 0.000)
O (0.750, 0.250, 0.500)

(8)
# ZrGeO4

A geometry-optimized ZrGeO4 structure (PBE-GGA, Alexandria via LeMat-Bulk).

Summary:
N(E_F) in states/eV/f.u.: 0.0
Crystal system: monoclinic
Formation energy without anion corrections in eV per atom: -2.3435
Symmetry: P2_1/c, No. 14

Lattice parameters (Å, degrees): 5.051 4.976 5.133 90.00 98.43 90.00
Element x y z (fractional)
Zr (0.000, 0.000, 0.000)
Zr (0.000, 0.500, 0.500)
Ge (0.500, 0.000, 0.500)
Ge (0.500, 0.500, 0.000)
O (0.187, 0.168, 0.369)
O (0.187, 0.332, 0.869)
O (0.326, 0.707, 0.263)
O (0.326, 0.793, 0.763)
O (0.674, 0.207, 0.237)
O (0.674, 0.293, 0.737)
O (0.813, 0.668, 0.131)
O (0.813, 0.832, 0.631)